DFT (PBE-GGA) results for Tl7Fe after structural relaxation.

Properties
Size of the total moment   3.184 μB/f.u.
Energy of formation from the pure elements   0.337 eV per atom

The structure in CIF format:
```
data_Tl7Fe
_chemical_formula_sum 'Tl28 Fe4'
_cell_length_a 9.650
_cell_length_b 9.650
_cell_length_c 9.650
_cell_angle_alpha 90.00
_cell_angle_beta 90.00
_cell_angle_gamma 90.00
_space_group_name_H-M_alt 'F m -3 m'
_space_group_IT_number 225
_space_group_name_Hall '-F 4 2 3'
loop_
_atom_site_label
_atom_site_type_symbol
_atom_site_fract_x
_atom_site_fract_y
_atom_site_fract_z
_atom_site_occupancy
Tl1 Tl 0.000 0.000 0.000 1
Tl2 Tl 0.000 0.250 0.250 1
Fe1 Fe 0.000 0.000 0.500 1
```